1.
Material: SrHf2Ta
Method: DFT, PBE
State: relaxed

The structure in CIF format:
```
data_SrHf2Ta
_chemical_formula_sum 'Sr4 Hf8 Ta4'
_cell_length_a 7.2264
_cell_length_b 7.2264
_cell_length_c 7.2264
_cell_angle_alpha 90.00
_cell_angle_beta 90.00
_cell_angle_gamma 90.00
_symmetry_space_group_name_H-M 'P 1'
_symmetry_Int_Tables_number 1
loop_
_symmetry_equiv_pos_as_xyz
'x,y,z'
loop_
_atom_site_label
_atom_site_fract_x
_atom_site_fract_y
_atom_site_fract_z
Sr1 0.0000 0.0000 0.0000
Sr2 0.0000 0.5000 0.5000
Sr3 0.5000 0.0000 0.5000
Sr4 0.5000 0.5000 0.0000
Hf1 0.2500 0.2500 0.2500
Hf2 0.2500 0.2500 0.7500
Hf3 0.2500 0.7500 0.2500
Hf4 0.2500 0.7500 0.7500
Hf5 0.7500 0.2500 0.2500
Hf6 0.7500 0.2500 0.7500
Hf7 0.7500 0.7500 0.2500
Hf8 0.7500 0.7500 0.7500
Ta1 0.0000 0.0000 0.5000
Ta2 0.0000 0.5000 0.0000
Ta3 0.5000 0.0000 0.0000
Ta4 0.5000 0.5000 0.5000
```

Summary:
SG ... Fm-3m, No. 225
Density ... 11.01 g/cm³
E ... -7.60 eV per atom

---

2.
Material: LiMgBr
Method: DFT, PBE
State: relaxed

The structure in CIF format:
```
data_LiMgBr
_chemical_formula_sum 'Li4 Mg4 Br4'
_cell_length_a 13.7742
_cell_length_b 3.7237
_cell_length_c 6.3436
_cell_angle_alpha 90.00
_cell_angle_beta 90.00
_cell_angle_gamma 90.00
_symmetry_space_group_name_H-M 'P 1'
_symmetry_Int_Tables_number 1
loop_
_symmetry_equiv_pos_as_xyz
'x,y,z'
loop_
_atom_site_label
_atom_site_fract_x
_atom_site_fract_y
_atom_site_fract_z
Li1 0.2038 0.0000 0.0000
Li2 0.2038 0.5000 0.5000
Li3 0.7962 0.0000 0.0000
Li4 0.7962 0.5000 0.5000
Mg1 0.0000 0.0000 0.4516
Mg2 0.0000 0.5000 0.9516
Mg3 0.5000 0.0000 0.6572
Mg4 0.5000 0.5000 0.1572
Br1 0.2907 0.0000 0.6627
Br2 0.2907 0.5000 0.1627
Br3 0.7093 0.0000 0.6627
Br4 0.7093 0.5000 0.1627
```

Summary:
SG ... Amm2, No. 38
Uncorrected formation energy ... -636 meV per atom
Density ... 2.27 g/cm³
E ... -2.36 eV per atom

---

3.
Material: LaPrCdPd
Method: DFT, PBE
State: relaxed

The structure in CIF format:
```
data_LaPrCdPd
_chemical_formula_sum 'La4 Pr4 Cd4 Pd4'
_cell_length_a 7.5767
_cell_length_b 7.5767
_cell_length_c 7.5767
_cell_angle_alpha 90.00
_cell_angle_beta 90.00
_cell_angle_gamma 90.00
_symmetry_space_group_name_H-M 'P 1'
_symmetry_Int_Tables_number 1
loop_
_symmetry_equiv_pos_as_xyz
'x,y,z'
loop_
_atom_site_label
_atom_site_fract_x
_atom_site_fract_y
_atom_site_fract_z
La1 0.0000 0.0000 0.0000
La2 0.0000 0.5000 0.5000
La3 0.5000 0.0000 0.5000
La4 0.5000 0.5000 0.0000
Pr1 0.0000 0.0000 0.5000
Pr2 0.0000 0.5000 0.0000
Pr3 0.5000 0.0000 0.0000
Pr4 0.5000 0.5000 0.5000
Cd1 0.2500 0.2500 0.7500
Cd2 0.2500 0.7500 0.2500
Cd3 0.7500 0.2500 0.2500
Cd4 0.7500 0.7500 0.7500
Pd1 0.2500 0.2500 0.2500
Pd2 0.2500 0.7500 0.7500
Pd3 0.7500 0.2500 0.7500
Pd4 0.7500 0.7500 0.2500
```

Summary:
SG ... F-43m, No. 216
Density ... 7.61 g/cm³
E ... -4.42 eV per atom

---

4.
Material: Bi2SeBr
Method: DFT, PBE
State: relaxed

The structure in CIF format:
```
data_Bi2SeBr
_chemical_formula_sum 'Bi8 Se4 Br4'
_cell_length_a 8.2973
_cell_length_b 8.2973
_cell_length_c 7.1077
_cell_angle_alpha 90.00
_cell_angle_beta 90.00
_cell_angle_gamma 90.00
_symmetry_space_group_name_H-M 'P 1'
_symmetry_Int_Tables_number 1
loop_
_symmetry_equiv_pos_as_xyz
'x,y,z'
loop_
_atom_site_label
_atom_site_fract_x
_atom_site_fract_y
_atom_site_fract_z
Bi1 0.2291 0.2500 0.1250
Bi2 0.2500 0.7291 0.3750
Bi3 0.2500 0.7709 0.8750
Bi4 0.2709 0.2500 0.6250
Bi5 0.7291 0.7500 0.6250
Bi6 0.7500 0.2291 0.8750
Bi7 0.7500 0.2709 0.3750
Bi8 0.7709 0.7500 0.1250
Se1 0.0000 0.0000 0.0000
Se2 0.0000 0.5000 0.2500
Se3 0.5000 0.0000 0.7500
Se4 0.5000 0.5000 0.5000
Br1 0.0000 0.0000 0.5000
Br2 0.0000 0.5000 0.7500
Br3 0.5000 0.0000 0.2500
Br4 0.5000 0.5000 0.0000
```

Summary:
SG ... I-42d, No. 122
Uncorrected formation energy ... -114 meV per atom
Density ... 7.83 g/cm³
E ... -3.34 eV per atom